Density functional theory data (PBE) for crystalline Tm3ScPt at its relaxed geometry.

extended XYZ file:
```
10
Lattice="4.9724 0.0003 0.0000 0.0006 6.3417 0.0038 0.0001 0.0067 8.1874" Properties=species:S:1:pos:R:3 pbc="T T T"
Tm 1.8690 5.5905 3.2941
Tm 4.3544 2.9946 7.3841
Tm 1.8691 5.5974 8.1897
Tm 4.3550 6.0691 5.7395
Tm 1.8677 2.5162 1.6470
Tm 4.3544 2.9949 4.0924
Pt 4.3522 4.2225 1.6427
Pt 1.8684 4.3628 5.7437
Sc 4.3542 0.5709 1.6484
Sc 1.8681 1.6728 5.7342
```

Volume = 25.82 Å³ per atom
Crystal system = monoclinic
ΔE_f = -0.497 eV per atom
Final energy = -56.54 eV/cell
D(E_F) = 15.03 states/eV per cell